Entry 1:
DFT (GGA-PBE) results for crystalline YBeRu2 at its relaxed geometry.

Output
N(E_F), states/eV per cell: 4.914
Crystal system: tetragonal
Energy of formation from the pure elements, kJ per mole of atoms: 11.3

a b c (Å): 3.874 4.029 4.029
angles (deg): 90.00 90.00 90.00
Site moments in Bohr magnetons follow the coordinates.
Fractional coordinates of all 4 atoms:
Y 0.500 0.500 0.000  -0.02
Ru 0.000 0.000 0.000  0.24
Ru 0.000 0.500 0.500  0.24
Be 0.500 0.000 0.500  -0.01

Entry 2:
DFT (GGA-PBE) results for crystalline YZrBeRu at its relaxed geometry.

Output
N(E_F), states/eV per cell: 2.236
Crystal system: cubic
Energy of formation from the pure elements, kJ per mole of atoms: -15.7

a b c (Å): 4.719 4.719 4.719
angles (deg): 60.00 60.00 60.00
Fractional coordinates of all 4 atoms:
Y 0.250 0.250 0.250
Ru 0.000 0.000 0.000
Zr 0.750 0.750 0.750
Be 0.500 0.500 0.500

Entry 3:
DFT (GGA-PBE) results for crystalline BeZnRu at its relaxed geometry.

Output
N(E_F), states/eV per cell: 2.541
ΔE to the lowest computed polymorph, meV/atom: 59.5
Crystal system: tetragonal
Energy of formation from the pure elements, kJ per mole of atoms: -6.4

a b c (Å): 4.818 4.818 4.818
angles (deg): 144.99 144.99 50.34
Fractional coordinates of all 3 atoms:
Ru 0.355 0.355 0.000
Zn 0.661 0.661 0.000
Be 0.983 0.983 0.000

Entry 4:
DFT (GGA-PBE) results for crystalline Be2Zn2Ru at its relaxed geometry.

Output
N(E_F), states/eV per cell: 6.364
Crystal system: tetragonal
Energy of formation from the pure elements, kJ per mole of atoms: 5.6

a b c (Å): 6.270 6.270 2.933
angles (deg): 90.00 90.00 90.00
Fractional coordinates of all 10 atoms:
Ru 0.000 0.000 0.000
Ru 0.500 0.500 0.000
Zn 0.167 0.667 0.500
Zn 0.667 0.833 0.500
Zn 0.833 0.333 0.500
Zn 0.333 0.167 0.500
Be 0.370 0.870 0.000
Be 0.870 0.630 0.000
Be 0.630 0.130 0.000
Be 0.130 0.370 0.000

Entry 5:
DFT (GGA-PBE) results for crystalline BeZnRu at its relaxed geometry.

Output
ΔE to the lowest computed polymorph, meV/atom: 164.5
Crystal system: cubic
Energy of formation from the pure elements, kJ per mole of atoms: 3.8

a b c (Å): 3.780 3.780 3.780
angles (deg): 60.00 60.00 60.00
Fractional coordinates of all 3 atoms:
Ru 0.000 0.000 0.000
Zn 0.500 0.500 0.500
Be 0.750 0.750 0.750

Entry 6:
DFT (GGA-PBE) results for crystalline BeZnRu at its relaxed geometry.

Output
N(E_F), states/eV per cell: 1.966
ΔE to the lowest computed polymorph, meV/atom: 247.9
Crystal system: orthorhombic
Energy of formation from the pure elements, kJ per mole of atoms: 11.8

a b c (Å): 6.289 6.077 2.636
angles (deg): 82.23 73.23 24.54
Fractional coordinates of all 3 atoms:
Ru 0.347 0.347 0.653
Zn 0.661 0.661 0.339
Be 0.992 0.992 0.008

Entry 7:
DFT (GGA-PBE) results for crystalline Be2ZnRu2 at its relaxed geometry.

Output
N(E_F), states/eV per cell: 8.360
ΔE to the lowest computed polymorph, meV/atom: 335.6
Crystal system: tetragonal
Energy of formation from the pure elements, kJ per mole of atoms: 0.6

a b c (Å): 6.502 6.502 2.899
angles (deg): 90.00 90.00 90.00
Site moments in Bohr magnetons follow the coordinates.
Fractional coordinates of all 10 atoms:
Ru 0.359 0.859 0.000  0.43
Ru 0.859 0.641 0.000  0.41
Ru 0.641 0.141 0.000  0.43
Ru 0.141 0.359 0.000  0.41
Zn 0.000 0.000 0.000  0.01
Zn 0.500 0.500 0.000  0.01
Be 0.154 0.654 0.500  -0.01
Be 0.654 0.846 0.500  -0.01
Be 0.846 0.346 0.500  -0.01
Be 0.346 0.154 0.500  -0.01

Entry 8:
DFT (GGA-PBE) results for crystalline BeZnRu at its relaxed geometry.

Output
N(E_F), states/eV per cell: 6.221
ΔE to the lowest computed polymorph, meV/atom: 624.4
Crystal system: cubic
Energy of formation from the pure elements, kJ per mole of atoms: 48.1

a b c (Å): 3.972 3.972 3.972
angles (deg): 60.00 60.00 60.00
Fractional coordinates of all 3 atoms:
Ru 0.750 0.750 0.750
Zn 0.000 0.000 0.000
Be 0.500 0.500 0.500

Entry 9:
DFT (GGA-PBE) results for crystalline BeZn3Ru at its relaxed geometry.

Output
N(E_F), states/eV per cell: 3.186
ΔE to the lowest computed polymorph, meV/atom: 377.4
Crystal system: cubic
Energy of formation from the pure elements, kJ per mole of atoms: 96.1

a b c (Å): 4.736 4.736 4.736
angles (deg): 90.00 90.00 90.00
Fractional coordinates of all 5 atoms:
Ru 0.000 0.000 0.000
Zn 0.000 0.500 0.000
Zn 0.000 0.000 0.500
Zn 0.500 0.000 0.000
Be 0.500 0.500 0.500

Entry 10:
DFT (GGA-PBE) results for crystalline Be3ZnRu at its relaxed geometry.

Output
N(E_F), states/eV per cell: 1.684
ΔE to the lowest computed polymorph, meV/atom: 0.0
Crystal system: cubic
Energy of formation from the pure elements, kJ per mole of atoms: 63.0

a b c (Å): 4.165 4.165 4.165
angles (deg): 90.00 90.00 90.00
Fractional coordinates of all 5 atoms:
Ru 0.000 0.000 0.000
Zn 0.500 0.500 0.500
Be 0.000 0.500 0.000
Be 0.000 0.000 0.500
Be 0.500 0.000 0.000

Entry 11:
DFT (GGA-PBE) results for crystalline BeZnRu at its relaxed geometry.

Output
N(E_F), states/eV per cell: 2.518
ΔE to the lowest computed polymorph, meV/atom: 72.9
Crystal system: trigonal
Energy of formation from the pure elements, kJ per mole of atoms: -5.1

a b c (Å): 3.925 3.925 2.713
angles (deg): 90.00 90.00 120.00
Fractional coordinates of all 3 atoms:
Ru 0.667 0.333 0.332
Zn 0.333 0.667 0.832
Be 0.000 0.000 0.837

Entry 12:
DFT (GGA-PBE) results for crystalline BeZn3Ru at its relaxed geometry.

Output
N(E_F), states/eV per cell: 2.065
ΔE to the lowest computed polymorph, meV/atom: 0.0
Crystal system: cubic
Energy of formation from the pure elements, kJ per mole of atoms: 59.6

a b c (Å): 4.134 4.134 4.134
angles (deg): 90.00 90.00 90.00
Fractional coordinates of all 5 atoms:
Ru 0.500 0.500 0.500
Zn 0.000 0.500 0.000
Zn 0.000 0.000 0.500
Zn 0.500 0.000 0.000
Be 0.000 0.000 0.000

Entry 13:
DFT (GGA-PBE) results for crystalline BeZnRu at its relaxed geometry.

Output
N(E_F), states/eV per cell: 4.490
ΔE to the lowest computed polymorph, meV/atom: 0.0
Crystal system: orthorhombic
Energy of formation from the pure elements, kJ per mole of atoms: -12.1

a b c (Å): 2.922 3.779 6.774
angles (deg): 73.80 90.00 90.00
Fractional coordinates of all 6 atoms:
Ru 0.250 0.916 0.169
Ru 0.750 0.084 0.831
Zn 0.250 0.272 0.455
Zn 0.750 0.728 0.545
Be 0.250 0.565 0.870
Be 0.750 0.435 0.130

Entry 14:
DFT (GGA-PBE) results for crystalline Be2ZnRu2 at its relaxed geometry.

Output
N(E_F), states/eV per cell: 0.104
ΔE to the lowest computed polymorph, meV/atom: 0.0
Crystal system: tetragonal
Energy of formation from the pure elements, kJ per mole of atoms: -31.7

a b c (Å): 5.936 5.936 3.161
angles (deg): 90.00 90.00 90.00
Fractional coordinates of all 10 atoms:
Ru 0.172 0.672 0.500
Ru 0.672 0.828 0.500
Ru 0.828 0.328 0.500
Ru 0.328 0.172 0.500
Zn 0.000 0.000 0.000
Zn 0.500 0.500 0.000
Be 0.377 0.877 0.000
Be 0.877 0.623 0.000
Be 0.623 0.123 0.000
Be 0.123 0.377 0.000

Entry 15:
DFT (GGA-PBE) results for crystalline Be3ZnRu at its relaxed geometry.

Output
N(E_F), states/eV per cell: 1.616
ΔE to the lowest computed polymorph, meV/atom: 252.1
Crystal system: cubic
Energy of formation from the pure elements, kJ per mole of atoms: 87.3

a b c (Å): 3.945 3.945 3.945
angles (deg): 90.00 90.00 90.00
Fractional coordinates of all 5 atoms:
Ru 0.500 0.500 0.500
Zn 0.000 0.000 0.000
Be 0.000 0.500 0.000
Be 0.000 0.000 0.500
Be 0.500 0.000 0.000

Entry 16:
DFT (GGA-PBE) results for crystalline Zr2BeRu at its relaxed geometry.

Output
N(E_F), states/eV per cell: 4.256
Crystal system: monoclinic
Energy of formation from the pure elements, kJ per mole of atoms: -17.8

a b c (Å): 5.226 5.226 4.547
angles (deg): 75.28 75.28 35.01
Fractional coordinates of all 4 atoms:
Ru 0.798 0.798 0.734
Zr 0.004 0.004 0.978
Zr 0.228 0.228 0.305
Be 0.470 0.470 0.483

Entry 17:
DFT (GGA-PBE) results for crystalline Zr2BeRu at its relaxed geometry.

Output
N(E_F), states/eV per cell: 3.584
Crystal system: orthorhombic
Energy of formation from the pure elements, kJ per mole of atoms: -16.9

a b c (Å): 5.543 5.543 5.543
angles (deg): 146.16 132.32 59.74
Fractional coordinates of all 4 atoms:
Ru 0.266 0.766 0.500
Zr 0.025 0.025 0.000
Zr 0.754 0.254 0.500
Be 0.455 0.455 0.000

Entry 18:
DFT (GGA-PBE) results for crystalline ZrBeRu at its relaxed geometry.

Output
N(E_F), states/eV per cell: 2.852
ΔE to the lowest computed polymorph, meV/atom: 90.1
Crystal system: monoclinic
Energy of formation from the pure elements, kJ per mole of atoms: -34.9

a b c (Å): 4.392 3.361 6.137
angles (deg): 90.00 97.54 90.00
Fractional coordinates of all 6 atoms:
Ru 0.683 0.250 0.699
Ru 0.317 0.750 0.301
Zr 0.776 0.250 0.147
Zr 0.224 0.750 0.853
Be 0.166 0.250 0.519
Be 0.834 0.750 0.481

Entry 19:
DFT (GGA-PBE) results for crystalline Zr2Be9Ru at its relaxed geometry.

Output
N(E_F), states/eV per cell: 6.708
Crystal system: trigonal
Energy of formation from the pure elements, kJ per mole of atoms: -11.1

a b c (Å): 4.553 4.553 7.694
angles (deg): 72.79 72.79 60.00
Fractional coordinates of all 12 atoms:
Zr 0.859 0.859 0.423
Zr 0.141 0.141 0.577
Be 0.666 0.666 0.002
Be 0.334 0.334 0.998
Be 0.500 0.500 0.500
Be 0.425 0.425 0.230
Be 0.921 0.425 0.230
Be 0.425 0.921 0.230
Be 0.575 0.575 0.770
Be 0.575 0.079 0.770
Be 0.079 0.575 0.770
Ru 0.000 0.000 0.000

Entry 20:
DFT (GGA-PBE) results for crystalline ZrBeRu at its relaxed geometry.

Output
N(E_F), states/eV per cell: 2.325
ΔE to the lowest computed polymorph, meV/atom: 123.6
Crystal system: monoclinic
Energy of formation from the pure elements, kJ per mole of atoms: -31.7

a b c (Å): 3.128 4.858 5.960
angles (deg): 90.00 94.70 90.00
Fractional coordinates of all 6 atoms:
Ru 0.001 0.250 0.801
Ru 0.999 0.750 0.199
Zr 0.281 0.250 0.381
Zr 0.719 0.750 0.619
Be 0.500 0.000 0.000
Be 0.500 0.500 0.000

Entry 21:
DFT (GGA-PBE) results for crystalline ZrBeRu2 at its relaxed geometry.

Output
N(E_F), states/eV per cell: 3.933
Crystal system: monoclinic
Energy of formation from the pure elements, kJ per mole of atoms: -10.9

a b c (Å): 4.210 2.931 4.982
angles (deg): 75.36 90.00 90.00
Fractional coordinates of all 4 atoms:
Ru 0.000 0.887 0.002
Ru 0.500 0.239 0.200
Zr 0.000 0.480 0.527
Be 0.500 0.894 0.771

Entry 22:
DFT (GGA-PBE) results for crystalline ZrBe17Ru at its relaxed geometry.

Output
N(E_F), states/eV per cell: 3.653
Crystal system: trigonal
Energy of formation from the pure elements, kJ per mole of atoms: -18.4

a b c (Å): 5.568 5.568 5.568
angles (deg): 83.16 83.16 83.16
Fractional coordinates of all 19 atoms:
Zr 0.659 0.659 0.659
Be 0.292 0.007 0.700
Be 0.700 0.292 0.007
Be 0.007 0.700 0.292
Be 0.292 0.700 0.007
Be 0.007 0.292 0.700
Be 0.700 0.007 0.292
Be 0.344 0.860 0.344
Be 0.344 0.344 0.860
Be 0.860 0.344 0.344
Be 0.647 0.167 0.647
Be 0.647 0.647 0.167
Be 0.167 0.647 0.647
Be 0.993 0.507 0.993
Be 0.993 0.993 0.507
Be 0.507 0.993 0.993
Be 0.905 0.905 0.905
Be 0.102 0.102 0.102
Ru 0.333 0.333 0.333

Entry 23:
DFT (GGA-PBE) results for crystalline ZrBeRu2 at its relaxed geometry.

Output
N(E_F), states/eV per cell: 6.572
Crystal system: tetragonal
Energy of formation from the pure elements, kJ per mole of atoms: 16.6

a b c (Å): 3.978 3.978 8.784
angles (deg): 76.91 76.91 90.00
Fractional coordinates of all 8 atoms:
Ru 0.551 0.125 0.250
Ru 0.199 0.625 0.250
Ru 0.375 0.449 0.750
Ru 0.875 0.801 0.750
Zr 0.000 0.000 0.000
Zr 0.750 0.250 0.500
Be 0.500 0.500 0.000
Be 0.250 0.750 0.500

Entry 24:
DFT (GGA-PBE) results for crystalline ZrBe8Ru3 at its relaxed geometry.

Output
N(E_F), states/eV per cell: 4.581
Crystal system: trigonal
Energy of formation from the pure elements, kJ per mole of atoms: -36.5

a b c (Å): 4.429 4.429 7.338
angles (deg): 90.00 90.00 120.00
Fractional coordinates of all 12 atoms:
Zr 0.000 0.000 0.563
Be 0.333 0.667 0.488
Be 0.333 0.667 0.002
Be 0.503 0.006 0.769
Be 0.503 0.497 0.769
Be 0.994 0.497 0.769
Be 0.166 0.332 0.236
Be 0.166 0.834 0.236
Be 0.668 0.834 0.236
Ru 0.667 0.333 0.432
Ru 0.667 0.333 0.065
Ru 0.000 0.000 0.934

Entry 25:
DFT (GGA-PBE) results for crystalline ZrBeRu at its relaxed geometry.

Output
N(E_F), states/eV per cell: 1.919
ΔE to the lowest computed polymorph, meV/atom: 121.9
Crystal system: tetragonal
Energy of formation from the pure elements, kJ per mole of atoms: -31.9

a b c (Å): 5.014 5.014 3.154
angles (deg): 71.67 71.67 36.67
Fractional coordinates of all 3 atoms:
Ru 0.631 0.631 0.369
Zr 0.337 0.337 0.663
Be 0.032 0.032 0.968

Entry 26:
DFT (GGA-PBE) results for crystalline ZrBeRu at its relaxed geometry.

Output
N(E_F), states/eV per cell: 5.077
ΔE to the lowest computed polymorph, meV/atom: 0.0
Crystal system: monoclinic
Energy of formation from the pure elements, kJ per mole of atoms: -43.6

a b c (Å): 4.715 3.297 11.697
angles (deg): 90.00 100.83 90.00
Fractional coordinates of all 12 atoms:
Ru 0.797 0.000 0.092
Ru 0.203 0.000 0.908
Ru 0.797 0.500 0.592
Ru 0.203 0.500 0.408
Zr 0.690 0.000 0.388
Zr 0.310 0.000 0.612
Zr 0.690 0.500 0.888
Zr 0.310 0.500 0.112
Be 0.863 0.000 0.730
Be 0.137 0.000 0.270
Be 0.863 0.500 0.230
Be 0.137 0.500 0.770